Record 1
Below is an optimized crystal structure of AlAgW2, with properties calculated at the PBE level.

```
data_AlAgW2
_chemical_formula_sum 'Al2 Ag2 W4'
_space_group_name_H-M_alt 'P 1'
_space_group_IT_number 1
_cell_length_a 2.766
_cell_length_b 5.266
_cell_length_c 9.094
_cell_angle_alpha 91.97
_cell_angle_beta 90.45
_cell_angle_gamma 96.20
loop_
_space_group_symop_operation_xyz
'x,y,z'
loop_
_atom_site_label
_atom_site_fract_x
_atom_site_fract_y
_atom_site_fract_z
Ag1 0.012 0.201 0.170
Ag2 0.460 0.031 0.422
W1 0.301 0.943 0.908
W2 0.535 0.698 0.142
W3 0.771 0.435 0.907
W4 0.526 0.669 0.667
Al1 0.010 0.176 0.665
Al2 0.990 0.549 0.401
```

Its space group is P1 (1). Its volume is 16.453 Å³/atom. As for the total energy: -63.40 eV for the cell shown.

***

Record 2
Below is an optimized crystal structure of AlAgW2, with properties calculated at the PBE level.

```
data_AlAgW2
_chemical_formula_sum 'Al1 Ag1 W2'
_space_group_name_H-M_alt 'P 1'
_space_group_IT_number 1
_cell_length_a 4.802
_cell_length_b 4.802
_cell_length_c 2.787
_cell_angle_alpha 90.00
_cell_angle_beta 90.00
_cell_angle_gamma 90.00
loop_
_space_group_symop_operation_xyz
'x,y,z'
loop_
_atom_site_label
_atom_site_fract_x
_atom_site_fract_y
_atom_site_fract_z
Ag1 0.500 0.000 0.500
W1 0.000 0.000 0.000
W2 0.500 0.500 0.000
Al1 0.000 0.500 0.500
```

Its space group is P4/mmm (123). Its volume is 16.069 Å³/atom. As for the total energy: -30.13 eV for the cell shown.